# 1
DFT (PBE) results for ReMoP2 after structural relaxation.

The structure in POSCAR format:
```
ReMoP2
1.0
-1.583 1.585 5.730
1.583 -1.585 5.730
1.583 1.585 -5.730
Re Mo P
1 1 2
Direct
0.456 0.456 0.000
0.707 0.207 0.500
0.043 0.043 0.000
0.293 0.793 0.500
```

Properties
Energy relative to the lowest polymorph listed for this composition in eV/atom: 0.000

***

# 2
DFT (PBE) results for ReMoP after structural relaxation.

The structure in POSCAR format:
```
ReMoP
1.0
0.000 2.927 2.927
2.927 0.000 2.927
2.927 2.927 0.000
Re Mo P
1 1 1
Direct
0.500 0.500 0.500
0.250 0.250 0.250
0.000 0.000 0.000
```

Properties
Energy relative to the lowest polymorph listed for this composition in eV/atom: 0.471

***

# 3
DFT (PBE) results for ReMo2P after structural relaxation.

The structure in POSCAR format:
```
ReMo2P
1.0
1.686 0.736 -5.967
-3.616 -2.616 4.368
-2.080 2.385 -0.293
Re Mo P
1 2 1
Direct
0.684 0.316 0.500
0.061 0.939 0.000
0.412 0.588 0.500
0.833 0.167 0.000
```

Properties
Electronic total energy in eV for the cell shown: -40.2

***

Result set for DOS(E_F): 1.869 2.366 2.536 states/eV/cell, one per record in the order listed.
Result set for calculated density: 9.9 10.4 11.3 Mg/m³, one per record in the order listed.